1.
Below is an optimized crystal structure of Ca6Ga3Hg, with properties calculated at the PBE level.

Cell lengths 9.3444, 5.2747, 12.0250 Å; angles 90.00, 110.21, 90.00 degrees
Closest atoms and distances in Å follow each position.
Sites, in units of the cell vectors:
Ca  0.0222  0.2500  0.4089  6 Ga 3.07-3.41, 1 Ca 3.41
Ca  0.1594  0.7500  0.1737  5 Ga 3.04-3.37, 1 Hg 3.16
Ca  0.2449  0.2500  0.9992  4 Ga 3.15-3.39, 3 Hg 3.26-3.42
Ca  0.3334  0.7500  0.8209  3 Ga 3.13-3.40, 3 Hg 3.15-3.24
Ca  0.3665  0.2500  0.6323  1 Hg 3.07, 3 Ga 3.09-3.22, 2 Ca 3.38-3.41
Ca  0.3802  0.2500  0.3554  3 Ga 3.30-3.35, 6 Ca 3.38-3.62
Ca  0.6198  0.7500  0.6446  3 Ga 3.30-3.35, 6 Ca 3.38-3.62
Ca  0.6335  0.7500  0.3677  1 Hg 3.07, 3 Ga 3.09-3.22, 2 Ca 3.38-3.41
Ca  0.6666  0.2500  0.1791  3 Ga 3.13-3.40, 3 Hg 3.15-3.24
Ca  0.7551  0.7500  0.0008  4 Ga 3.15-3.39, 3 Hg 3.26-3.42
Ca  0.8406  0.2500  0.8263  5 Ga 3.04-3.37, 1 Hg 3.16
Ca  0.9778  0.7500  0.5911  6 Ga 3.07-3.41, 1 Ca 3.41
Ga  0.0284  0.7500  0.8749  8 Ca 3.11-3.39, 2 Ga 3.39
Ga  0.0936  0.2500  0.7213  7 Ca 3.04-3.40, 3 Ga 3.31-3.39
Ga  0.2591  0.7500  0.4706  9 Ca 3.22-3.41, 1 Ga 3.31
Ga  0.7409  0.2500  0.5294  9 Ca 3.22-3.41, 1 Ga 3.31
Ga  0.9064  0.7500  0.2787  7 Ca 3.04-3.40, 3 Ga 3.31-3.39
Ga  0.9716  0.2500  0.1251  8 Ca 3.11-3.39, 2 Ga 3.39
Hg  0.4535  0.7500  0.1002  8 Ca 3.07-3.42
Hg  0.5465  0.2500  0.8998  8 Ca 3.07-3.42

Results
SG = No. 11
Formation energy = -0.37 eV per atom
D(E_F) = 0.477 states/eV per atom
Energy = -0.092 Ha/atom

---

2.
Below is an optimized crystal structure of Ca2GaHg6, with properties calculated at the PBE level.

Cell lengths 7.9323, 7.9323, 4.3559 Å; angles 90.00, 90.00, 122.49 degrees
Closest atoms and distances in Å follow each position.
Sites, in units of the cell vectors:
Ca  0.1986  0.8014  0.0000  10 Hg 3.28-3.51, 2 Ga 3.52
Ca  0.8014  0.1986  0.0000  10 Hg 3.28-3.51, 2 Ga 3.52
Ga  0.0000  0.0000  0.5000  8 Hg 3.08-3.10
Hg  0.1604  0.4534  0.5000  4 Hg 2.95-3.01, 1 Ga 3.10, 2 Ca 3.28
Hg  0.2846  0.2846  0.0000  5 Hg 2.99-3.29, 2 Ga 3.08
Hg  0.4534  0.1604  0.5000  4 Hg 2.95-3.01, 1 Ga 3.10, 2 Ca 3.28
Hg  0.5466  0.8396  0.5000  4 Hg 2.95-3.01, 1 Ga 3.10, 2 Ca 3.28
Hg  0.7154  0.7154  0.0000  5 Hg 2.99-3.29, 2 Ga 3.08
Hg  0.8396  0.5466  0.5000  4 Hg 2.95-3.01, 1 Ga 3.10, 2 Ca 3.28

Results
SG = No. 65
Formation energy = -0.28 eV per atom
D(E_F) = 0.449 states/eV per atom
Energy = -0.046 Ha/atom

---

3.
Below is an optimized crystal structure of Ca2GaHg2, with properties calculated at the PBE level.

Cell lengths 5.9634, 5.9634, 5.9634 Å; angles 119.10, 119.10, 91.57 degrees
Closest atoms and distances in Å follow each position.
Sites, in units of the cell vectors:
Ca  0.2500  0.7500  0.5000  4 Hg 3.10
Ca  0.7500  0.2500  0.5000  4 Hg 3.10
Ga  0.0000  0.0000  0.0000  2 Hg 2.77
Hg  0.3335  0.3335  0.0000  1 Hg 2.77, 1 Ga 2.77, 4 Ca 3.10
Hg  0.6665  0.6665  0.0000  1 Hg 2.77, 1 Ga 2.77, 4 Ca 3.10

Results
SG = No. 139
Formation energy = -0.20 eV per atom
D(E_F) = 0.506 states/eV per atom
Energy relative to the lowest polymorph listed for this composition = 1.327 eV per formula unit
Energy = -0.064 Ha/atom